Here is a relaxed structure of CdHPt3 from Alexandria. Energies are from PBE.

abc: 5.797 5.797 10.041
angles: 106.60 106.60 60.04
Sites, in units of the cell vectors:
Cd 0.122 0.628 0.875
Cd 0.372 0.878 0.625
Cd 0.628 0.122 0.375
Cd 0.878 0.372 0.125
H 0.000 0.500 0.500
H 0.197 0.803 0.250
H 0.500 0.000 0.000
H 0.803 0.197 0.750
Pt 0.124 0.130 0.877
Pt 0.130 0.124 0.377
Pt 0.131 0.621 0.375
Pt 0.372 0.379 0.625
Pt 0.379 0.372 0.125
Pt 0.379 0.869 0.125
Pt 0.621 0.131 0.875
Pt 0.621 0.628 0.875
Pt 0.628 0.621 0.375
Pt 0.869 0.379 0.625
Pt 0.870 0.876 0.623
Pt 0.876 0.870 0.123

Values from the calculation:
VASP energy: -23.06 eV/f.u.
space-group type: C2/c (15)
relative energy among the computed polymorphs: 14 meV per atom
V: 13.80 Å³ per atom
total moment: 0.0 μB per cell
DOS at the Fermi energy: 0.783 states/eV/atom